No. 1
Below is crystalline KGaSe2O8 at its relaxed geometry, with properties calculated at the PBE level.

Computed properties:
space-group type: R-3 (148)
size of the total moment: 0.0 μB per cell
E_tot: -5.319 eV/atom
formation energy from raw total energies: -1.09 eV/atom
V: 185 Å³/cell

a = 9.0192 Å, b = 9.0192 Å, c = 9.0192 Å
α = 32.15°, β = 32.15°, γ = 32.15°
With the nearest neighbours (Å) after each atom.
Element x y z (fractional)
K: 0.0000 0.0000 0.0000  6 O 3.02
Ga: 0.5000 0.5000 0.5000  6 O 2.00
Se: 0.2341 0.2341 0.2341  4 O 1.65-1.69
Se: 0.7659 0.7659 0.7659  4 O 1.65-1.69
O: 0.1205 0.7583 0.4810  1 Se 1.69
O: 0.2417 0.5190 0.8795  1 Se 1.69
O: 0.2984 0.2984 0.2984  1 Se 1.65
O: 0.4810 0.1205 0.7583  1 Se 1.69
O: 0.5190 0.8795 0.2417  1 Se 1.69
O: 0.7016 0.7016 0.7016  1 Se 1.65
O: 0.7583 0.4810 0.1205  1 Se 1.69
O: 0.8795 0.2417 0.5190  1 Se 1.69

No. 2
Below is crystalline KGa2SeO6 at its relaxed geometry, with properties calculated at the PBE level.

Computed properties:
space-group type: C2/c (15)
size of the total moment: 2.0 μB per cell
E_tot: -5.367 eV/atom
formation energy from raw total energies: -1.33 eV/atom
V: 297 Å³/cell

a = 7.2402 Å, b = 7.2402 Å, c = 6.2670 Å
α = 102.90°, β = 102.90°, γ = 103.88°
With the nearest neighbours (Å) after each atom.
Element x y z (fractional)
K: 0.0948 0.9052 0.7500  6 O 2.59-2.72
K: 0.9052 0.0948 0.2500  6 O 2.59-2.72
Ga: 0.2955 0.4510 0.8494  5 O 1.89-2.11
Ga: 0.4510 0.2955 0.3494  5 O 1.89-2.11
Ga: 0.5490 0.7045 0.6506  5 O 1.89-2.11
Ga: 0.7045 0.5490 0.1506  5 O 1.89-2.11
Se: 0.2153 0.7847 0.2500  4 O 1.73-1.86
Se: 0.7847 0.2153 0.7500  4 O 1.73-1.86
O: 0.0196 0.2460 0.7145  1 Se 1.73
O: 0.1632 0.6393 0.9458  1 Se 1.86, 1 Ga 1.91
O: 0.2460 0.0196 0.2145  1 Se 1.73
O: 0.3324 0.4244 0.5521  3 Ga 1.89-2.11
O: 0.3607 0.8368 0.5542  1 Se 1.86, 1 Ga 1.91
O: 0.4244 0.3324 0.0521  3 Ga 1.89-2.11
O: 0.5756 0.6676 0.9479  3 Ga 1.89-2.11
O: 0.6393 0.1632 0.4458  1 Se 1.86, 1 Ga 1.91
O: 0.6676 0.5756 0.4479  3 Ga 1.89-2.11
O: 0.7540 0.9804 0.7855  1 Se 1.73
O: 0.8368 0.3607 0.0542  1 Se 1.86, 1 Ga 1.91
O: 0.9804 0.7540 0.2855  1 Se 1.73